(1)
This record from OQMD describes a geometry-optimized NaLiTePd structure. The functional is PBE-GGA.

Geometry as extended XYZ:
```
4
Lattice="0.000 3.364 3.364 3.364 0.000 3.364 3.364 3.364 0.000" Properties=species:S:1:pos:R:3 pbc="T T T"
Pd 1.682 1.682 1.682
Na 5.046 5.046 5.046
Te 0.000 0.000 0.000
Li 3.364 3.364 3.364
```

Results
* space group: F-43m
* E: -3.4459 eV/atom
* excess energy over the best structure of this formula in the dataset: 0.12 eV/f.u.



(2)
This record from OQMD describes a geometry-optimized NaLiPr structure. The functional is PBE-GGA.

Geometry as extended XYZ:
```
3
Lattice="0.000 3.657 3.657 3.657 0.000 3.657 3.657 3.657 0.000" Properties=species:S:1:pos:R:3 pbc="T T T"
Na 1.828 1.828 1.828
Li 0.000 0.000 0.000
Pr 5.485 5.485 5.485
```

Results
* space group: F-43m
* E: -2.1426 eV/atom
* total magnetization: 0.3 μB/f.u.
* excess energy over the best structure of this formula in the dataset: 0.00 eV/f.u.



(3)
This record from OQMD describes a geometry-optimized NaLiPr structure. The functional is PBE-GGA.

Geometry as extended XYZ:
```
3
Lattice="0.000 3.798 3.798 3.798 0.000 3.798 3.798 3.798 0.000" Properties=species:S:1:pos:R:3 pbc="T T T"
Pr 0.000 0.000 0.000
Li 1.899 1.899 1.899
Na 5.696 5.696 5.696
```

Results
* space group: F-43m
* E: -1.8901 eV/atom
* total magnetization: 0.0 μB/f.u.
* excess energy over the best structure of this formula in the dataset: 0.76 eV/f.u.



(4)
This record from OQMD describes a geometry-optimized NaLiPtW structure. The functional is PBE-GGA.

Geometry as extended XYZ:
```
4
Lattice="0.762 2.554 3.555 -3.361 2.155 1.949 -1.436 -1.281 4.005" Properties=species:S:1:pos:R:3 pbc="T T T"
Na -3.026 2.571 7.131
Li 0.000 0.000 0.000
W -1.009 0.857 2.377
Pt -2.018 1.714 4.754
```

Results
* space group: F-43m
* E: -5.1509 eV/atom
* total magnetization: 0.0 μB/f.u.
* excess energy over the best structure of this formula in the dataset: 0.19 eV/f.u.



(5)
This record from OQMD describes a geometry-optimized NaLiPtW structure. The functional is PBE-GGA.

Geometry as extended XYZ:
```
4
Lattice="0.742 2.119 3.803 -2.620 -0.727 3.480 1.539 -2.214 3.498" Properties=species:S:1:pos:R:3 pbc="T T T"
Pt -0.085 -0.205 2.695
W 0.000 0.000 0.000
Li -0.170 -0.411 5.391
Na -0.254 -0.616 8.086
```

Results
* space group: F-43m
* E: -5.1988 eV/atom
* total magnetization: 0.0 μB/f.u.
* excess energy over the best structure of this formula in the dataset: 0.00 eV/f.u.



(6)
This record from OQMD describes a geometry-optimized NaLiPuTe3 structure. The functional is PBE-GGA.

Geometry as extended XYZ:
```
12
Lattice="-4.680 5.444 1.966 4.442 -5.428 2.491 8.788 7.395 0.444" Properties=species:S:1:pos:R:3 pbc="T T T"
Na 4.243 8.211 2.433
Na 4.307 -0.800 2.468
Te 7.253 4.623 2.607
Te 8.124 0.223 2.668
Te 11.432 3.007 2.835
Te 0.427 7.188 2.233
Te 1.297 2.788 2.295
Te -2.882 4.404 2.066
Pu 4.275 3.705 2.451
Pu -0.119 0.008 2.229
Li -2.290 7.062 2.088
Li 10.840 0.349 2.813
```

Results
* space group: Cmcm
* E: -5.3713 eV/atom
* total magnetization: 4.0 μB/f.u.